No. 1
The following is a DFT calculation (PBE-GGA) of a relaxed Sr2SmTlS4 crystal.

The space group is P2/m (No. 10) and the conventional cell measures 7.2125, 4.2498 and 7.5623 Å, with angles of 90.00, 108.81 and 90.00 degrees. The inequivalent atoms are Sr at (0.0000, 0.0000, 0.0000), Sr at (0.0000, 0.5000, 0.5000), Sm at (0.5000, 0.0000, 0.5000), Tl at (0.5000, 0.5000, 0.0000), S at (0.2496, 0.0000, 0.7207) and S at (0.2608, 0.5000, 0.2722).

Its total energy is -5.096 eV/atom. For the uncorrected formation energy, the calculation gives -1.7260 eV/atom. Its mass density is 4.981 g/cm³.

=====

No. 2
The following is a DFT calculation (PBE-GGA) of a relaxed TbPmCo crystal.

The space group is P3m1 (No. 156) and the conventional cell measures 3.9400, 3.9400 and 6.2312 Å, with angles of 90.00, 90.00 and 120.00 degrees. The inequivalent atoms are Tb at (0.0000, 0.0000, 0.0000), Pm at (0.3333, 0.6667, 0.4632) and Co at (0.6667, 0.3333, 0.2268).

Its total energy is -5.523 eV/atom. Its mass density is 7.193 g/cm³. Its distance to the lowest polymorph of the same formula is 90.4 meV per atom. Its energy relative to the elements is -0.6 kcal/mol of atoms.

=====

No. 3
The following is a DFT calculation (PBE-GGA) of a relaxed K2TbNpS4 crystal.

The space group is P2/m (No. 10) and the conventional cell measures 7.0922, 4.0902 and 7.7354 Å, with angles of 90.00, 107.88 and 90.00 degrees. The inequivalent atoms are K at (0.0000, 0.0000, 0.0000), K at (0.5000, 0.5000, 0.0000), Tb at (0.0000, 0.5000, 0.5000), Np at (0.5000, 0.0000, 0.5000), S at (0.2322, 0.0000, 0.7031) and S at (0.2658, 0.5000, 0.2991).

Its total energy is -6.163 eV/atom. For the uncorrected formation energy, the calculation gives -1.6281 eV/atom. Its mass density is 4.684 g/cm³.

=====

No. 4
The following is a DFT calculation (PBE-GGA) of a relaxed CoSiNi3 crystal.

The space group is Pm-3m (No. 221) and the conventional cell measures 4.1502, 4.1502 and 4.1502 Å, with angles of 90.00, 90.00 and 90.00 degrees. The inequivalent atoms are Co at (0.0000, 0.0000, 0.0000), Si at (0.5000, 0.5000, 0.5000) and Ni at (0.0000, 0.5000, 0.5000).

Its total energy is -5.334 eV/atom. For the uncorrected formation energy, the calculation gives 0.6407 eV/atom. Its mass density is 6.111 g/cm³. Its distance to the lowest polymorph of the same formula is 0.0 meV per atom.

=====

No. 5
The following is a DFT calculation (PBE-GGA) of a relaxed LaDy5Au6 crystal.

The space group is P2/m (No. 10) and the conventional cell measures 5.1353, 7.2220 and 8.1645 Å, with angles of 90.00, 108.16 and 90.00 degrees. The inequivalent atoms are La at (0.0000, 0.0000, 0.0000), Dy at (0.0000, 0.5000, 0.0000), Dy at (0.3309, 0.0000, 0.6634), Dy at (0.3336, 0.5000, 0.6695), Au at (0.1748, 0.2553, 0.3457) and Au at (0.5000, 0.2658, 0.0000).

Its total energy is -4.807 eV/atom. Its mass density is 12.312 g/cm³. Its energy relative to the elements is -19.4 kcal/mol of atoms.

=====

No. 6
The following is a DFT calculation (PBE-GGA) of a relaxed IrOsRh crystal.

The space group is P3m1 (No. 156) and the conventional cell measures 2.7206, 2.7206 and 6.7103 Å, with angles of 90.00, 90.00 and 120.00 degrees. The inequivalent atoms are Ir at (0.0000, 0.0000, 0.0000), Os at (0.6667, 0.3333, 0.3271) and Rh at (0.3333, 0.6667, 0.6568).

Its total energy is -9.140 eV/atom. Its mass density is 18.737 g/cm³. Its distance to the lowest polymorph of the same formula is 8.7 meV per atom. Its energy relative to the elements is 0.2 kcal/mol of atoms.

=====

No. 7
The following is a DFT calculation (PBE-GGA) of a relaxed Na2MgCd2In2 crystal.

The space group is R-3m (No. 166, hexagonal axes) and the conventional cell measures 5.0956, 5.0956 and 23.3103 Å, with angles of 90.00, 90.00 and 120.00 degrees. The inequivalent atoms are Na at (0.0000, 0.0000, 0.1404), Mg at (0.0000, 0.0000, 0.0000), Cd at (0.0000, 0.0000, 0.2783) and In at (0.0000, 0.0000, 0.4152).

Its total energy is -1.719 eV/atom. Its mass density is 4.987 g/cm³. Its energy relative to the elements is -1.6 kcal/mol of atoms.

=====

No. 8
The following is a DFT calculation (PBE-GGA) of a relaxed LaBe2Cd crystal.

The space group is F-43m (No. 216) and the conventional cell measures 6.8226, 6.8226 and 6.8226 Å, with angles of 90.00, 90.00 and 90.00 degrees. The inequivalent atoms are La at (0.0000, 0.0000, 0.0000), Be at (0.0000, 0.0000, 0.5000), Be at (0.2500, 0.2500, 0.2500) and Cd at (0.2500, 0.2500, 0.7500).

Its total energy is -2.987 eV/atom. Its mass density is 5.633 g/cm³. Its energy relative to the elements is 7.8 kcal/mol of atoms.

=====

No. 9
The following is a DFT calculation (PBE-GGA) of a relaxed PbSBr2 crystal.

The space group is Fm-3m (No. 225) and the conventional cell measures 7.5565, 7.5565 and 7.5565 Å, with angles of 90.00, 90.00 and 90.00 degrees. The inequivalent atoms are Pb at (0.0000, 0.0000, 0.0000), S at (0.0000, 0.0000, 0.5000) and Br at (0.2500, 0.2500, 0.2500).

Its total energy is -2.739 eV/atom. For the uncorrected formation energy, the calculation gives 0.0563 eV/atom. Its mass density is 6.143 g/cm³. Its distance to the lowest polymorph of the same formula is 25.7 meV per atom.

=====

No. 10
The following is a DFT calculation (PBE-GGA) of a relaxed PmAlCoIr crystal.

The space group is F-43m (No. 216) and the conventional cell measures 6.4893, 6.4893 and 6.4893 Å, with angles of 90.00, 90.00 and 90.00 degrees. The inequivalent atoms are Pm at (0.0000, 0.0000, 0.0000), Al at (0.0000, 0.0000, 0.5000), Co at (0.2500, 0.2500, 0.7500) and Ir at (0.2500, 0.2500, 0.2500).

Its total energy is -6.439 eV/atom. Its mass density is 10.285 g/cm³. Its energy relative to the elements is -7.5 kcal/mol of atoms.

=====

No. 11
The following is a DFT calculation (PBE-GGA) of a relaxed MnAl3Ru crystal.

The space group is Pm-3m (No. 221) and the conventional cell measures 4.6530, 4.6530 and 4.6530 Å, with angles of 90.00, 90.00 and 90.00 degrees. The inequivalent atoms are Mn at (0.0000, 0.0000, 0.0000), Al at (0.0000, 0.5000, 0.5000) and Ru at (0.5000, 0.5000, 0.5000).

Its total energy is -5.677 eV/atom. Its mass density is 3.906 g/cm³. Its distance to the lowest polymorph of the same formula is 0.0 meV per atom. Its energy relative to the elements is 5.9 kcal/mol of atoms.

=====

No. 12
The following is a DFT calculation (PBE-GGA) of a relaxed VNiAs crystal.

The space group is Pmmn (No. 59, origin choice 2) and the conventional cell measures 2.5847, 4.2337 and 9.2386 Å, with angles of 90.00, 90.00 and 90.00 degrees. The inequivalent atoms are V at (0.2500, 0.2500, 0.1838), Ni at (0.2500, 0.7500, 0.0467) and As at (0.2500, 0.7500, 0.3233).

Its total energy is -6.441 eV/atom. Its mass density is 6.063 g/cm³. Its energy relative to the elements is 1.7 kcal/mol of atoms.